# 1
Compound: AcThMgSn
Source: the Alexandria database
Functional: PBE
Structure: optimized geometry

Unit cell a=5.6193 b=5.6193 c=5.6193 alpha=60.00 beta=60.00 gamma=60.00
Closest atoms and distances in Å follow each position.
Atoms (fractional coordinates):
1 Ac 0.0000 0.0000 0.0000  4 Mg 3.44, 4 Sn 3.44
2 Th 0.5000 0.5000 0.5000  4 Sn 3.44, 4 Mg 3.44
3 Mg 0.2500 0.2500 0.2500  4 Th 3.44, 4 Ac 3.44
4 Sn 0.7500 0.7500 0.7500  4 Th 3.44, 4 Ac 3.44

Properties
**Crystal system**: cubic
**Calculated total energy**: -17.9 eV for the cell shown
**Space group**: F-43m (216)


# 2
Compound: Tb7Ho2Th2
Source: the Alexandria database
Functional: PBE
Structure: optimized geometry

Unit cell a=8.0765 b=8.0765 c=5.9975 alpha=106.11 beta=106.11 gamma=91.06
Closest atoms and distances in Å follow each position.
Atoms (fractional coordinates):
1 Tb 0.0000 0.0000 0.0000  4 Tb 3.25, 2 Ho 3.47
2 Tb 0.0576 0.5918 0.8304  2 Tb 3.14-3.25, 2 Th 3.32-3.47, 1 Ho 3.39
3 Tb 0.4082 0.9424 0.1696  2 Tb 3.14-3.25, 2 Th 3.32-3.47, 1 Ho 3.39
4 Tb 0.4130 0.4130 0.1956  6 Tb 3.39-3.76, 3 Ho 3.40-3.69, 2 Th 3.73
5 Tb 0.5870 0.5870 0.8044  6 Tb 3.39-3.76, 3 Ho 3.40-3.69, 2 Th 3.73
6 Tb 0.5918 0.0576 0.8304  2 Tb 3.14-3.25, 2 Th 3.32-3.47, 1 Ho 3.39
7 Tb 0.9424 0.4082 0.1696  2 Tb 3.14-3.25, 2 Th 3.32-3.47, 1 Ho 3.39
8 Ho 0.2333 0.2333 0.5884  8 Tb 3.39-3.69, 2 Th 3.48
9 Ho 0.7667 0.7667 0.4116  8 Tb 3.39-3.69, 2 Th 3.48
10 Th 0.2118 0.7882 0.5000  6 Tb 3.32-3.72, 2 Ho 3.48
11 Th 0.7882 0.2118 0.5000  6 Tb 3.32-3.72, 2 Ho 3.48

Properties
**Crystal system**: monoclinic
**Polymorph energy (0 for the lowest one)**: 9 meV/atom
**Space group**: C2/m (12)


# 3
Compound: CdGa2AuI
Source: the Alexandria database
Functional: PBE
Structure: optimized geometry

Unit cell a=5.0716 b=5.0716 c=5.4329 alpha=90.00 beta=90.00 gamma=90.00
Closest atoms and distances in Å follow each position.
Atoms (fractional coordinates):
1 Cd 0.0000 0.0000 0.0000  2 Au 2.72
2 Ga 0.0000 0.5000 0.5000  2 Au 2.54
3 Ga 0.5000 0.0000 0.5000  2 Au 2.54
4 Au 0.0000 0.0000 0.5000  4 Ga 2.54, 2 Cd 2.72
5 I 0.5000 0.5000 0.0000  4 Cd 3.59, 8 Ga 3.72

Properties
**Crystal system**: tetragonal
**Space group**: P4/mmm (123)
**Formation energy (no corrections)**: -0.7 eV/f.u.


# 4
Compound: Al4PdRu3
Source: the Alexandria database
Functional: PBE
Structure: optimized geometry

Unit cell a=3.0614 b=4.2236 c=8.4878 alpha=90.00 beta=90.00 gamma=90.00
Closest atoms and distances in Å follow each position.
Atoms (fractional coordinates):
1 Al 0.0000 0.0000 0.0000  8 Ru 2.61-2.66
2 Al 0.0000 0.0000 0.5000  4 Ru 2.57, 4 Pd 2.61
3 Al 0.0000 0.5000 0.2401  6 Ru 2.55-2.61, 2 Pd 2.68
4 Al 0.0000 0.5000 0.7599  6 Ru 2.55-2.61, 2 Pd 2.68
5 Pd 0.5000 0.5000 0.5000  8 Al 2.61-2.68
6 Ru 0.5000 0.0000 0.2564  8 Al 2.57-2.66
7 Ru 0.5000 0.0000 0.7436  8 Al 2.57-2.66
8 Ru 0.5000 0.5000 0.0000  8 Al 2.55-2.61

Properties
**Crystal system**: orthorhombic
**Calculated total energy**: -54.2 eV for the cell shown
**Space group**: Pmmm (47)


# 5
Compound: K3ScMo
Source: the Alexandria database
Functional: PBE
Structure: optimized geometry

Unit cell a=6.0102 b=6.0102 c=6.0102 alpha=90.00 beta=90.00 gamma=90.00
Closest atoms and distances in Å follow each position.
Atoms (fractional coordinates):
1 K 0.0000 0.0000 0.5000  2 Mo 3.01
2 K 0.0000 0.5000 0.0000  2 Mo 3.01
3 K 0.5000 0.0000 0.0000  2 Mo 3.01
4 Sc 0.5000 0.5000 0.5000  12 K 4.25
5 Mo 0.0000 0.0000 0.0000  6 K 3.01

Properties
**Crystal system**: cubic
**Polymorph energy (0 for the lowest one)**: 151 meV/atom
**Space group**: Pm-3m (221)


# 6
Compound: LuTh2Ag
Source: the Alexandria database
Functional: PBE
Structure: optimized geometry

Unit cell a=5.6423 b=5.6423 c=3.5627 alpha=90.00 beta=90.00 gamma=90.00
Closest atoms and distances in Å follow each position.
Atoms (fractional coordinates):
1 Lu 0.0000 0.0000 0.0000  8 Th 3.34, 2 Lu 3.56
2 Th 0.0000 0.5000 0.5000  4 Ag 3.34, 4 Lu 3.34, 2 Th 3.56
3 Th 0.5000 0.0000 0.5000  4 Ag 3.34, 4 Lu 3.34, 2 Th 3.56
4 Ag 0.5000 0.5000 0.0000  8 Th 3.34, 2 Ag 3.56

Properties
**Crystal system**: tetragonal
**Polymorph energy (0 for the lowest one)**: 55 meV/atom
**Space group**: P4/mmm (123)


# 7
Compound: LaNi2Os
Source: the Alexandria database
Functional: PBE
Structure: optimized geometry

Unit cell a=5.4707 b=5.4707 c=5.4707 alpha=45.36 beta=45.36 gamma=45.36
Closest atoms and distances in Å follow each position.
Atoms (fractional coordinates):
1 La 0.0000 0.0000 0.0000  2 Ni 2.80
2 Ni 0.1903 0.1903 0.1903  3 Os 2.46, 3 Ni 2.53
3 Ni 0.8097 0.8097 0.8097  3 Os 2.46, 3 Ni 2.53
4 Os 0.5000 0.5000 0.5000  6 Ni 2.46

Properties
**Crystal system**: trigonal
**Polymorph energy (0 for the lowest one)**: 0 meV/atom
**Space group**: R-3m (166)


# 8
Compound: Ti3FeSb2
Source: the Alexandria database
Functional: PBE
Structure: optimized geometry

Unit cell a=10.9066 b=4.1214 c=9.5812 alpha=90.00 beta=90.00 gamma=90.00
Closest atoms and distances in Å follow each position.
Atoms (fractional coordinates):
1 Ti 0.0689 0.2500 0.1460  1 Fe 2.53, 4 Sb 2.83
2 Ti 0.1572 0.7500 0.5618  3 Fe 2.60-2.87, 4 Sb 2.80-2.90, 1 Ti 2.88
3 Ti 0.2401 0.7500 0.2769  2 Fe 2.82, 5 Sb 2.83-3.00, 5 Ti 2.88-3.12
4 Ti 0.2599 0.2500 0.7769  2 Fe 2.82, 5 Sb 2.83-3.00, 5 Ti 2.88-3.12
5 Ti 0.3428 0.2500 0.0618  3 Fe 2.60-2.87, 4 Sb 2.80-2.90, 1 Ti 2.88
6 Ti 0.4311 0.7500 0.6460  1 Fe 2.53, 4 Sb 2.83
7 Ti 0.5689 0.2500 0.3540  1 Fe 2.53, 4 Sb 2.83
8 Ti 0.6572 0.7500 0.9382  3 Fe 2.60-2.87, 4 Sb 2.80-2.90, 1 Ti 2.88
9 Ti 0.7401 0.7500 0.2231  2 Fe 2.82, 5 Sb 2.83-3.00, 5 Ti 2.88-3.12
10 Ti 0.7599 0.2500 0.7231  2 Fe 2.82, 5 Sb 2.83-3.00, 5 Ti 2.88-3.12
11 Ti 0.8428 0.2500 0.4382  3 Fe 2.60-2.87, 4 Sb 2.80-2.90, 1 Ti 2.88
12 Ti 0.9311 0.7500 0.8540  1 Fe 2.53, 4 Sb 2.83
13 Fe 0.1048 0.2500 0.4070  5 Ti 2.53-2.82, 4 Sb 2.55-2.75
14 Fe 0.3952 0.7500 0.9070  5 Ti 2.53-2.82, 4 Sb 2.55-2.75
15 Fe 0.6048 0.2500 0.0930  5 Ti 2.53-2.82, 4 Sb 2.55-2.75
16 Fe 0.8952 0.7500 0.5930  5 Ti 2.53-2.82, 4 Sb 2.55-2.75
17 Sb 0.0160 0.2500 0.6759  3 Fe 2.57-2.75, 6 Ti 2.80-2.83
18 Sb 0.1700 0.7500 0.9800  1 Fe 2.55, 2 Ti 2.83
19 Sb 0.3300 0.2500 0.4800  1 Fe 2.55, 2 Ti 2.83
20 Sb 0.4840 0.7500 0.1759  3 Fe 2.57-2.75, 6 Ti 2.80-2.83
21 Sb 0.5160 0.2500 0.8241  3 Fe 2.57-2.75, 6 Ti 2.80-2.83
22 Sb 0.6700 0.7500 0.5200  1 Fe 2.55, 2 Ti 2.83
23 Sb 0.8300 0.2500 0.0200  1 Fe 2.55, 2 Ti 2.83
24 Sb 0.9840 0.7500 0.3241  3 Fe 2.57-2.75, 6 Ti 2.80-2.83

Properties
**Crystal system**: orthorhombic
**Space group**: Pnma (62)
**Formation energy (no corrections)**: -2.1 eV/f.u.


# 9
Compound: NaScO2
Source: the Alexandria database
Functional: PBE
Structure: optimized geometry

Unit cell a=5.9020 b=5.9020 c=5.9020 alpha=127.59 beta=127.59 gamma=77.29
Closest atoms and distances in Å follow each position.
Atoms (fractional coordinates):
1 Na 0.0000 0.0000 0.0000  4 O 2.38
2 Na 0.7500 0.2500 0.5000  4 O 2.38
3 Sc 0.2500 0.7500 0.5000  4 O 2.00
4 Sc 0.5000 0.5000 0.0000  4 O 2.00
5 O 0.1864 0.6250 0.0614  2 Sc 2.00
6 O 0.3750 0.4364 0.5614  2 Sc 2.00
7 O 0.5636 0.1250 0.9386  2 Sc 2.00
8 O 0.8750 0.8136 0.4386  2 Sc 2.00

Properties
**Crystal system**: tetragonal
**Space group**: I-42d (122)
**Formation energy (no corrections)**: -10.9 eV/f.u.


# 10
Compound: Pm2TmZr
Source: the Alexandria database
Functional: PBE
Structure: optimized geometry

Unit cell a=4.0579 b=4.0579 c=7.2499 alpha=90.00 beta=90.00 gamma=90.00
Closest atoms and distances in Å follow each position.
Atoms (fractional coordinates):
1 Pm 0.0000 0.0000 0.2275  1 Pm 3.30, 4 Zr 3.31, 4 Tm 3.48
2 Pm 0.0000 0.0000 0.7725  1 Pm 3.30, 4 Zr 3.31, 4 Tm 3.48
3 Tm 0.5000 0.5000 0.5000  8 Pm 3.48, 2 Zr 3.62
4 Zr 0.5000 0.5000 0.0000  8 Pm 3.31, 2 Tm 3.62

Properties
**Crystal system**: tetragonal
**Polymorph energy (0 for the lowest one)**: 54 meV/atom
**Space group**: P4/mmm (123)